(1)
Material: TlPb3Au3
Method: DFT, GGA-PBE
State: relaxed

a b c (Å): 7.929 7.929 7.929
angles (deg): 90.00 90.00 90.00
Element x y z (fractional)
Tl (0.000, 0.000, 0.000)
Tl (0.500, 0.500, 0.500)
Pb (0.000, 0.250, 0.500)
Pb (0.000, 0.750, 0.500)
Pb (0.250, 0.500, 0.000)
Pb (0.500, 0.000, 0.250)
Pb (0.500, 0.000, 0.750)
Pb (0.750, 0.500, 0.000)
Au (0.000, 0.500, 0.250)
Au (0.000, 0.500, 0.750)
Au (0.250, 0.000, 0.500)
Au (0.500, 0.250, 0.000)
Au (0.500, 0.750, 0.000)
Au (0.750, 0.000, 0.500)

Results
For the energy above the most stable polymorph in this dataset, the calculation gives 226 meV/atom. Its formation energy is 183 meV/atom. The space group is No. 223. As for the total DFT energy (no corrections): -3.15 eV/atom. For the mass density, the calculation gives 9.4 g/cm³.

(2)
Material: TlPbAu2
Method: DFT, GGA-PBE
State: relaxed

a b c (Å): 7.399 6.730 3.884
angles (deg): 90.00 90.14 90.00
Element x y z (fractional)
Tl (0.000, 0.000, 0.000)
Tl (0.500, 0.500, 0.000)
Pb (0.000, 0.500, 0.000)
Pb (0.500, 0.000, 0.000)
Au (0.250, 0.250, 0.500)
Au (0.250, 0.750, 0.500)
Au (0.750, 0.250, 0.500)
Au (0.750, 0.750, 0.500)

Results
For the energy above the most stable polymorph in this dataset, the calculation gives 80 meV/atom. Its formation energy is 16 meV/atom. The space group is No. 12. As for the total DFT energy (no corrections): -3.14 eV/atom. For the mass density, the calculation gives 13.8 g/cm³.

(3)
Material: TlPb6Au4
Method: DFT, GGA-PBE
State: relaxed

a b c (Å): 7.370 7.370 7.638
angles (deg): 119.82 119.82 81.65
Element x y z (fractional)
Tl (0.000, 0.000, 0.000)
Pb (0.084, 0.084, 0.594)
Pb (0.397, 0.397, 0.222)
Pb (0.453, 0.822, 0.783)
Pb (0.535, 0.930, 0.436)
Pb (0.822, 0.453, 0.783)
Pb (0.930, 0.535, 0.436)
Au (0.278, 0.614, 0.940)
Au (0.309, 0.309, 0.514)
Au (0.614, 0.278, 0.940)
Au (0.759, 0.759, 0.166)

Results
Its formation energy is 2 meV/atom. The space group is No. 8. As for the total DFT energy (no corrections): -3.43 eV/atom. For the mass density, the calculation gives 12.0 g/cm³.

(4)
Material: Tl6Pb3Au
Method: DFT, GGA-PBE
State: relaxed

a b c (Å): 11.270 4.716 11.361
angles (deg): 90.00 97.10 90.00
Element x y z (fractional)
Tl (0.044, 0.250, 0.406)
Tl (0.139, 0.750, 0.219)
Tl (0.260, 0.250, 0.018)
Tl (0.340, 0.250, 0.320)
Tl (0.410, 0.750, 0.861)
Tl (0.453, 0.250, 0.618)
Tl (0.547, 0.750, 0.382)
Tl (0.590, 0.250, 0.139)
Tl (0.660, 0.750, 0.680)
Tl (0.740, 0.750, 0.982)
Tl (0.861, 0.250, 0.781)
Tl (0.956, 0.750, 0.594)
Pb (0.052, 0.750, 0.909)
Pb (0.171, 0.250, 0.718)
Pb (0.252, 0.750, 0.533)
Pb (0.748, 0.250, 0.467)
Pb (0.829, 0.750, 0.282)
Pb (0.948, 0.250, 0.091)
Au (0.407, 0.750, 0.134)
Au (0.593, 0.250, 0.866)

Results
Its formation energy is 15 meV/atom. The space group is No. 11. As for the total DFT energy (no corrections): -2.84 eV/atom. For the mass density, the calculation gives 11.3 g/cm³.

(5)
Material: Tl3Pb2Au2
Method: DFT, GGA-PBE
State: relaxed

a b c (Å): 3.853 6.663 8.534
angles (deg): 69.71 77.23 73.37
Element x y z (fractional)
Tl (0.000, 0.000, 0.000)
Tl (0.112, 0.212, 0.567)
Tl (0.888, 0.788, 0.433)
Pb (0.344, 0.482, 0.822)
Pb (0.656, 0.518, 0.178)
Au (0.317, 0.150, 0.219)
Au (0.683, 0.850, 0.781)

Results
Its formation energy is -25 meV/atom. The space group is No. 2. As for the total DFT energy (no corrections): -3.04 eV/atom. For the mass density, the calculation gives 12.1 g/cm³.

(6)
Material: Tl2Pb2Au3
Method: DFT, GGA-PBE
State: relaxed

a b c (Å): 14.908 4.531 5.786
angles (deg): 90.00 98.77 90.00
Element x y z (fractional)
Tl (0.083, 0.000, 0.255)
Tl (0.417, 0.500, 0.745)
Tl (0.583, 0.500, 0.255)
Tl (0.917, 0.000, 0.745)
Pb (0.165, 0.500, 0.837)
Pb (0.335, 0.000, 0.163)
Pb (0.665, 0.000, 0.837)
Pb (0.835, 0.500, 0.163)
Au (0.000, 0.500, 0.500)
Au (0.245, 0.500, 0.347)
Au (0.255, 0.000, 0.653)
Au (0.500, 0.000, 0.500)
Au (0.745, 0.000, 0.347)
Au (0.755, 0.500, 0.653)

Results
Its formation energy is -58 meV/atom. The space group is No. 12. As for the total DFT energy (no corrections): -3.20 eV/atom. For the mass density, the calculation gives 12.2 g/cm³.

(7)
Material: Tl6PbAu
Method: DFT, GGA-PBE
State: relaxed

a b c (Å): 5.333 8.238 10.762
angles (deg): 90.00 90.00 90.00
Element x y z (fractional)
Tl (0.000, 0.000, 0.000)
Tl (0.000, 0.200, 0.279)
Tl (0.000, 0.300, 0.779)
Tl (0.000, 0.500, 0.500)
Tl (0.000, 0.700, 0.779)
Tl (0.000, 0.800, 0.279)
Tl (0.500, 0.000, 0.772)
Tl (0.500, 0.230, 0.505)
Tl (0.500, 0.270, 0.005)
Tl (0.500, 0.500, 0.272)
Tl (0.500, 0.730, 0.005)
Tl (0.500, 0.770, 0.505)
Pb (0.000, 0.000, 0.567)
Pb (0.000, 0.500, 0.067)
Au (0.500, 0.000, 0.203)
Au (0.500, 0.500, 0.703)

Results
Its formation energy is 21 meV/atom. The space group is No. 38. As for the total DFT energy (no corrections): -2.63 eV/atom. For the mass density, the calculation gives 11.5 g/cm³.

(8)
Material: TlPb6Au
Method: DFT, GGA-PBE
State: relaxed

a b c (Å): 4.923 4.923 10.998
angles (deg): 90.00 90.00 90.00
Element x y z (fractional)
Tl (0.000, 0.000, 0.000)
Pb (0.000, 0.500, 0.335)
Pb (0.000, 0.500, 0.665)
Pb (0.500, 0.000, 0.335)
Pb (0.500, 0.000, 0.665)
Pb (0.500, 0.500, 0.143)
Pb (0.500, 0.500, 0.857)
Au (0.000, 0.000, 0.500)

Results
For the energy above the most stable polymorph in this dataset, the calculation gives 40 meV/atom. Its formation energy is 43 meV/atom. The space group is No. 123. As for the total DFT energy (no corrections): -3.44 eV/atom. For the mass density, the calculation gives 10.2 g/cm³.

(9)
Material: TlPbAu2
Method: DFT, GGA-PBE
State: relaxed

a b c (Å): 10.588 3.440 5.609
angles (deg): 90.00 108.71 90.00
Element x y z (fractional)
Tl (0.000, 0.000, 0.000)
Tl (0.500, 0.500, 0.000)
Pb (0.209, 0.000, 0.646)
Pb (0.709, 0.500, 0.646)
Au (0.254, 0.500, 0.183)
Au (0.465, 0.000, 0.470)
Au (0.754, 0.000, 0.183)
Au (0.965, 0.500, 0.470)

Results
For the energy above the most stable polymorph in this dataset, the calculation gives 71 meV/atom. Its formation energy is 7 meV/atom. The space group is No. 8. As for the total DFT energy (no corrections): -3.15 eV/atom. For the mass density, the calculation gives 13.8 g/cm³.

(10)
Material: Tl3Pb3Au4
Method: DFT, GGA-PBE
State: relaxed

a b c (Å): 3.903 8.161 8.161
angles (deg): 89.62 90.00 90.00
Element x y z (fractional)
Tl (0.000, 0.000, 0.000)
Tl (0.500, 0.327, 0.834)
Tl (0.500, 0.834, 0.327)
Pb (0.000, 0.165, 0.502)
Pb (0.000, 0.502, 0.165)
Pb (0.000, 0.662, 0.662)
Au (0.500, 0.205, 0.205)
Au (0.500, 0.463, 0.463)
Au (0.500, 0.700, 0.957)
Au (0.500, 0.957, 0.700)

Results
Its formation energy is -32 meV/atom. The space group is No. 38. As for the total DFT energy (no corrections): -3.17 eV/atom. For the mass density, the calculation gives 12.9 g/cm³.

(11)
Material: TlPb3Au8
Method: DFT, GGA-PBE
State: relaxed

a b c (Å): 5.761 5.761 9.265
angles (deg): 90.00 90.00 120.00
Element x y z (fractional)
Tl (0.000, 0.000, 0.000)
Pb (0.000, 0.000, 0.385)
Pb (0.667, 0.333, 0.495)
Pb (0.667, 0.333, 0.875)
Au (0.164, 0.328, 0.684)
Au (0.164, 0.836, 0.684)
Au (0.333, 0.667, 0.431)
Au (0.333, 0.667, 0.934)
Au (0.503, 0.007, 0.184)
Au (0.503, 0.497, 0.184)
Au (0.672, 0.836, 0.684)
Au (0.993, 0.497, 0.184)

Results
For the energy above the most stable polymorph in this dataset, the calculation gives 3 meV/atom. Its formation energy is -36 meV/atom. The space group is No. 156. As for the total DFT energy (no corrections): -3.35 eV/atom. For the mass density, the calculation gives 15.0 g/cm³.

(12)
Material: Tl5Pb4Au2
Method: DFT, GGA-PBE
State: relaxed

a b c (Å): 8.308 3.685 10.687
angles (deg): 90.00 96.07 90.00
Element x y z (fractional)
Tl (0.000, 0.000, 0.000)
Tl (0.033, 0.000, 0.330)
Tl (0.346, 0.000, 0.864)
Tl (0.654, 0.000, 0.136)
Tl (0.967, 0.000, 0.670)
Pb (0.294, 0.500, 0.573)
Pb (0.310, 0.500, 0.159)
Pb (0.690, 0.500, 0.841)
Pb (0.706, 0.500, 0.427)
Au (0.410, 0.000, 0.373)
Au (0.590, 0.000, 0.627)

Results
Its formation energy is -22 meV/atom. The space group is No. 10. As for the total DFT energy (no corrections): -3.04 eV/atom. For the mass density, the calculation gives 11.5 g/cm³.

Let's list DOS at the Fermi energy in order: 0.87, 0.35, 0.32, 0.44, 0.43, 0.30, 0.33, 0.48, 0.36, 0.39, 0.35, 0.38 states/eV/atom.